Record 1
Material: LiHg2Os
Method: DFT, GGA-PBE
State: relaxed

The structure in POSCAR format:
```
LiHg2Os
1.0
-2.8549 -4.4357 2.2384
2.2926 -5.2491 0.1620
0.1493 5.5236 1.5176
Hg Li Os
2 1 1
Direct
0.0105 0.0105 0.0000
0.7448 0.2448 0.5000
0.4890 0.4890 0.0000
0.2557 0.7557 0.5000
```

=====

Record 2
Material: NiBi6Pd
Method: DFT, GGA-PBE
State: relaxed

The structure in POSCAR format:
```
NiBi6Pd
1.0
8.2895 1.4874 0.0000
3.3178 4.9645 0.0000
1.6589 2.4822 6.0806
Ni Bi Pd
1 6 1
Direct
0.5000 0.5000 0.0000
0.7328 0.2585 0.6582
0.7328 0.9167 0.3418
0.2672 0.0833 0.6582
0.2672 0.7415 0.3418
0.7418 0.6408 0.0000
0.2582 0.3592 0.0000
0.0000 0.0000 0.0000
```

=====

Total magnetization
In order: 0.067; 0.000
Unit: μB/f.u.
Density of states at the Fermi level
In order: 2.4; 4.2
Unit: states/eV/f.u.
E_form
In order: 0.456; -0.008
Unit: eV/atom